[1]
Crystalline In2CuAgSn2S8 at its relaxed geometry, computed with PBEsol.

Properties
space group	Imm2
total magnetization	0.0	μB per cell
VASP energy	-4.5425	eV/atom

a b c (Å): 7.492 7.492 7.492
angles (deg): 89.94 60.18 120.11
Sites, in units of the cell vectors:
Cu (0.500, 0.383, 0.117)
In (0.248, 0.749, 0.499)
Sn (0.750, 0.750, 0.500)
S (0.265, 0.518, 0.747)
S (0.735, 0.989, 0.747)
In (0.752, 0.252, 0.499)
S (0.755, 0.506, 0.248)
Ag (0.000, 0.117, 0.883)
S (0.266, 0.988, 0.746)
S (0.734, 0.988, 0.277)
S (0.245, 0.997, 0.248)
S (0.245, 0.506, 0.249)
Sn (0.250, 0.750, 0.000)
S (0.755, 0.506, 0.739)

=====

[2]
Crystalline SrMg2P at its relaxed geometry, computed with PBEsol.

Properties
calculated formation energy	-0.3924	eV/atom
space group	P2/m
total magnetization	0.0	μB per cell
DOS at the Fermi energy	2.16	states/eV/cell
VASP energy	-3.1590	eV/atom

a b c (Å): 4.160 5.443 5.460
angles (deg): 115.33 90.00 90.00
Sites, in units of the cell vectors:
Mg (0.000, 0.168, 0.331)
P (0.500, 0.000, 0.500)
Mg (0.000, 0.832, 0.669)
Sr (0.500, 0.500, 0.000)

=====

[3]
Crystalline KBa2TaTe at its relaxed geometry, computed with PBEsol.

Properties
space group	P4/mmm
total magnetization	0.0	μB per cell
DOS at the Fermi energy	3.91	states/eV/cell
VASP energy	-3.9722	eV/atom

a b c (Å): 5.354 6.274 6.274
angles (deg): 90.00 90.00 90.00
Sites, in units of the cell vectors:
Ta (0.000, 0.000, 0.000)
Ba (0.000, 0.500, 0.000)
Ba (0.000, 0.000, 0.500)
K (0.500, 0.500, 0.500)
Te (0.500, 0.000, 0.000)

=====

[4]
Crystalline YSc2W at its relaxed geometry, computed with PBEsol.

Properties
calculated formation energy	0.3023	eV/atom
space group	P4mm
total magnetization	0.0	μB per cell
DOS at the Fermi energy	4.15	states/eV/cell
relative energy among the computed polymorphs	0.000	eV per atom
VASP energy	-8.1577	eV/atom

a b c (Å): 3.551 3.551 7.152
angles (deg): 90.00 90.00 90.00
Sites, in units of the cell vectors:
Sc (0.000, 0.000, 0.050)
W (0.000, 0.000, 0.455)
Sc (0.500, 0.500, 0.287)
Y (0.500, 0.500, 0.709)

=====

[5]
Crystalline Y2Ru at its relaxed geometry, computed with PBEsol.

Properties
calculated formation energy	-0.1981	eV/atom
space group	Fm-3m
total magnetization	0.0	μB per cell
DOS at the Fermi energy	1.32	states/eV/cell
VASP energy	-8.1370	eV/atom

a b c (Å): 4.714 4.714 4.714
angles (deg): 60.00 60.00 60.00
Sites, in units of the cell vectors:
Ru (0.000, 0.000, 0.000)
Y (0.250, 0.250, 0.250)
Y (0.750, 0.750, 0.750)

=====

[6]
Crystalline HoInCo4 at its relaxed geometry, computed with PBEsol.

Properties
calculated formation energy	-0.1703	eV/atom
space group	F-43m
total magnetization	4.2	μB per cell
DOS at the Fermi energy	9.20	states/eV/cell
VASP energy	-6.6505	eV/atom

a b c (Å): 4.889 4.889 4.889
angles (deg): 60.00 60.00 60.00
Sites, in units of the cell vectors:
Co (0.123, 0.626, 0.626)
Co (0.626, 0.626, 0.123)
Co (0.626, 0.123, 0.626)
In (0.000, 0.000, 0.000)
Ho (0.250, 0.250, 0.250)
Co (0.626, 0.626, 0.626)